Entry from Alexandria: a geometry-optimized BaIrO3 structure (PBE).

The structure belongs to space group Pm-3m (No. 221); the cell edges are 4.5292, 4.5292 and 4.5292 Å and the angles 90.00°, 90.00° and 90.00°. The asymmetric unit holds Ba at (0.0000, 0.0000, 0.0000), Ir at (0.5000, 0.5000, 0.5000) and O at (0.0000, 0.0000, 0.5000).

The final energy comes out at -4.142 eV per atom. The magnetic moment comes out at 3.0 μB per formula unit. Its energy relative to the elements, uncorrected is 4.951 eV per formula unit.



Entry from Alexandria: a geometry-optimized Pm5Dy3Tm structure (PBE).

The structure belongs to space group C2/c (No. 15); the cell edges are 16.4219, 6.7405 and 11.5881 Å and the angles 90.00°, 110.34° and 90.00°. The asymmetric unit holds Pm at (0.0000, 0.1879, 0.2500), Pm at (0.1100, 0.0006, 0.5503), Pm at (0.1718, 0.4113, 0.3455), Dy at (0.0000, 0.5000, 0.0000), Dy at (0.2388, 0.0973, 0.8722) and Tm at (0.0000, 0.2625, 0.7500).

The final energy comes out at -4.500 eV per atom. For the energy above the lowest structure with this stoichiometry, the calculation gives 0.000 eV/atom. The magnetic moment comes out at 0.0 μB per formula unit. As for the formation energy: 1.53 eV per formula unit.



Entry from Alexandria: a geometry-optimized ZrGa2GeAs structure (PBE).

The structure belongs to space group P4/mmm (No. 123); the cell edges are 4.7062, 4.7062 and 5.3116 Å and the angles 90.00°, 90.00° and 90.00°. The asymmetric unit holds Zr at (0.0000, 0.0000, 0.0000), Ga at (0.0000, 0.5000, 0.5000), Ge at (0.0000, 0.0000, 0.5000) and As at (0.5000, 0.5000, 0.0000).

The final energy comes out at -4.396 eV per atom. The magnetic moment comes out at 0.0 μB per formula unit. As for the formation energy: 1.89 eV per formula unit.



Entry from Alexandria: a geometry-optimized Hf6TiPb2 structure (PBE).

The structure belongs to space group P-62m (No. 189); the cell edges are 8.4505, 8.4505 and 3.2814 Å and the angles 90.00°, 90.00° and 120.00°. The asymmetric unit holds Hf at (0.0000, 0.3543, 0.0000), Hf at (0.0000, 0.7250, 0.5000), Ti at (0.0000, 0.0000, 0.0000) and Pb at (0.3333, 0.6667, 0.5000).

The final energy comes out at -8.336 eV per atom. For the energy above the lowest structure with this stoichiometry, the calculation gives 0.000 eV/atom. The magnetic moment comes out at 0.0 μB per formula unit. As for the formation energy: 0.01 eV per formula unit.



Entry from Alexandria: a geometry-optimized HfGeTe2I structure (PBE).

The structure belongs to space group P4/mmm (No. 123); the cell edges are 5.5990, 5.5990 and 5.5951 Å and the angles 90.00°, 90.00° and 90.00°. The asymmetric unit holds Hf at (0.0000, 0.0000, 0.0000), Ge at (0.5000, 0.5000, 0.5000), Te at (0.0000, 0.5000, 0.0000) and I at (0.0000, 0.0000, 0.5000).

The final energy comes out at -4.360 eV per atom. For the energy above the lowest structure with this stoichiometry, the calculation gives 0.000 eV/atom. The magnetic moment comes out at 0.9 μB per formula unit. Its energy relative to the elements, uncorrected is 0.607 eV per formula unit.



Entry from Alexandria: a geometry-optimized LaZr4F2 structure (PBE).

The structure belongs to space group I4/mmm (No. 139); the cell edges are 5.1669, 5.1669 and 12.0854 Å and the angles 90.00°, 90.00° and 90.00°. The asymmetric unit holds La at (0.0000, 0.0000, 0.0000), Zr at (0.0000, 0.0000, 0.2427), Zr at (0.0000, 0.5000, 0.0000) and F at (0.0000, 0.0000, 0.4104).

The final energy comes out at -6.112 eV per atom. The magnetic moment comes out at 0.0 μB per formula unit. Its energy relative to the elements, uncorrected is 0.079 eV per formula unit.



Entry from Alexandria: a geometry-optimized Nd2DyPt3 structure (PBE).

The structure belongs to space group C2/c (No. 15); the cell edges are 13.1487, 5.8691 and 8.3232 Å and the angles 90.00°, 108.50° and 90.00°. The asymmetric unit holds Nd at (0.1681, 0.0025, 0.0841), Dy at (0.0000, 0.4960, 0.2500), Pt at (0.0000, 0.0039, 0.7500) and Pt at (0.1599, 0.4976, 0.5799).

The final energy comes out at -6.448 eV per atom. The magnetic moment comes out at 0.0 μB per formula unit. As for the formation energy: -6.43 eV per formula unit.



Entry from Alexandria: a geometry-optimized LaMg2Cu2Sn2 structure (PBE).

The structure belongs to space group R-3m (No. 166, hexagonal axes); the cell edges are 4.5680, 4.5680 and 25.9139 Å and the angles 90.00°, 90.00° and 120.00°. The asymmetric unit holds La at (0.0000, 0.0000, 0.0000), Mg at (0.0000, 0.0000, 0.1351), Cu at (0.0000, 0.0000, 0.4163) and Sn at (0.0000, 0.0000, 0.2533).

The final energy comes out at -3.834 eV per atom. The magnetic moment comes out at 0.0 μB per formula unit. As for the formation energy: -2.53 eV per formula unit.



Entry from Alexandria: a geometry-optimized Tb2PrAg3 structure (PBE).

The structure belongs to space group P4/mmm (No. 123); the cell edges are 3.6721, 3.6721 and 11.2091 Å and the angles 90.00°, 90.00° and 90.00°. The asymmetric unit holds Tb at (0.0000, 0.0000, 0.1622), Pr at (0.0000, 0.0000, 0.5000), Ag at (0.5000, 0.5000, 0.0000) and Ag at (0.5000, 0.5000, 0.3183).

The final energy comes out at -4.061 eV per atom. The magnetic moment comes out at 0.1 μB per formula unit. As for the formation energy: -1.77 eV per formula unit.



Entry from Alexandria: a geometry-optimized Mg2AgOs structure (PBE).

The structure belongs to space group Pmm2 (No. 25); the cell edges are 2.8068, 4.7987 and 4.9679 Å and the angles 90.00°, 90.00° and 90.00°. The asymmetric unit holds Mg at (0.0000, 0.0000, 0.0000), Mg at (0.0000, 0.5000, 0.3855), Ag at (0.5000, 0.0000, 0.5149) and Os at (0.5000, 0.5000, 0.8877).

The final energy comes out at -4.180 eV per atom. The magnetic moment comes out at 0.0 μB per formula unit. As for the formation energy: 0.55 eV per formula unit.



Entry from Alexandria: a geometry-optimized TaTi2TlAs structure (PBE).

The structure belongs to space group P4/mmm (No. 123); the cell edges are 4.9632, 4.9632 and 4.9190 Å and the angles 90.00°, 90.00° and 90.00°. The asymmetric unit holds Ta at (0.0000, 0.0000, 0.0000), Ti at (0.0000, 0.5000, 0.0000), Tl at (0.5000, 0.5000, 0.5000) and As at (0.0000, 0.0000, 0.5000).

The final energy comes out at -6.211 eV per atom. The magnetic moment comes out at 0.0 μB per formula unit. As for the formation energy: 3.60 eV per formula unit.



Entry from Alexandria: a geometry-optimized Sc2InRu structure (PBE).

The structure belongs to space group P4mm (No. 99); the cell edges are 3.3156, 3.3156 and 7.3496 Å and the angles 90.00°, 90.00° and 90.00°. The asymmetric unit holds Sc at (0.0000, 0.0000, 0.0000), Sc at (0.5000, 0.5000, 0.3143), In at (0.0000, 0.0000, 0.5888) and Ru at (0.5000, 0.5000, 0.8088).

The final energy comes out at -6.427 eV per atom. The magnetic moment comes out at 1.2 μB per formula unit. As for the formation energy: -1.03 eV per formula unit.